Material: TlV2CdO6
Method: DFT, PBE+U
State: relaxed

Results
N(E_F) ... 0.0753 states/eV/atom
Space group ... C2/c, No. 15
Magnetization ... 2.00 Bohr magnetons per cell
Theoretical density ... 4.50 g/cm³
VASP energy ... -126.62 eV per cell

a b c (Å): 8.1360 8.1360 6.0906
angles (deg): 103.53 103.53 90.72
Positions (direct):
Tl 0.1189 0.8811 0.7500
Tl 0.8811 0.1189 0.2500
V 0.2076 0.3767 0.8093
V 0.3767 0.2076 0.3093
V 0.6233 0.7924 0.6907
V 0.7924 0.6233 0.1907
Cd 0.2612 0.7388 0.2500
Cd 0.7388 0.2612 0.7500
O 0.0076 0.2748 0.7131
O 0.2086 0.5980 0.8940
O 0.2748 0.0076 0.2131
O 0.3107 0.3177 0.5685
O 0.3177 0.3107 0.0685
O 0.4020 0.7914 0.6060
O 0.5980 0.2086 0.3940
O 0.6823 0.6893 0.9315
O 0.6893 0.6823 0.4315
O 0.7252 0.9924 0.7869
O 0.7914 0.4020 0.1060
O 0.9924 0.7252 0.2869